The following is a DFT calculation (PBE) of a geometry-optimized KPaIn2F8 structure.

POSCAR file:
```
KPaIn2F8
1.0
4.040 0.000 0.000
0.000 8.661 0.000
-0.007 0.000 6.907
K Pa In F
1 1 2 8
Cartesian
0.000 0.000 0.000
0.000 4.330 0.000
2.016 1.841 3.453
2.016 6.820 3.453
-0.001 2.641 1.302
4.033 2.641 5.605
-0.001 6.019 1.302
4.033 6.019 5.605
2.010 0.000 4.969
2.020 4.330 1.198
2.013 4.330 5.709
2.023 0.000 1.938
```

Computed properties:
calculated density = 4.5 g/cm³
uncorrected formation energy = -2948 meV per atom

The following is a DFT calculation (PBE) of a geometry-optimized TbDyZn2 structure.

POSCAR file:
```
TbDyZn2
1.0
5.040 0.000 0.000
0.000 5.040 0.000
0.000 0.000 3.599
Tb Dy Zn
1 1 2
Cartesian
0.000 0.000 0.000
2.520 2.520 0.000
0.000 2.520 1.799
2.520 0.000 1.799
```

Computed properties:
formation energy from the elements = -339 meV/atom
calculated density = 8.2 g/cm³

The following is a DFT calculation (PBE) of a geometry-optimized CdSeCl2 structure.

POSCAR file:
```
CdSeCl2
1.0
-4.504 4.504 2.917
4.504 -4.504 2.917
4.504 4.504 -2.917
Cd Se Cl
2 2 4
Cartesian
0.000 0.000 0.000
0.000 4.504 1.458
4.504 0.000 1.458
0.000 0.000 2.917
6.756 1.147 -0.729
1.147 2.252 0.729
-2.252 3.357 2.188
3.357 2.252 3.646
```

Computed properties:
calculated density = 3.7 g/cm³
ΔE to the lowest computed polymorph = 0.338 eV per atom
uncorrected formation energy = -199 meV per atom

The following is a DFT calculation (PBE) of a geometry-optimized Ac3YEr structure.

POSCAR file:
```
Ac3YEr
1.0
6.520 0.000 0.000
0.000 9.399 0.000
0.000 0.000 13.258
Ac Y Er
12 4 4
Cartesian
0.583 1.625 0.990
0.583 3.075 5.638
0.907 2.350 9.943
2.353 7.049 9.943
2.677 6.324 5.638
2.677 7.774 0.990
3.843 1.625 12.267
3.843 3.075 7.619
4.167 2.350 3.314
5.613 7.049 3.314
5.937 6.324 7.619
5.937 7.774 12.267
1.630 0.000 7.383
1.630 4.699 12.503
4.890 0.000 5.875
4.890 4.699 0.754
1.630 0.000 4.059
1.630 4.699 2.570
4.890 0.000 9.199
4.890 4.699 10.688
```

Computed properties:
formation energy from the elements = 190 meV/atom
calculated density = 7.7 g/cm³

The following is a DFT calculation (PBE) of a geometry-optimized NaAlTe2 structure.

POSCAR file:
```
NaAlTe2
1.0
2.371 1.369 7.045
-2.371 1.369 7.045
0.000 -2.738 7.045
Na Al Te
1 1 2
Cartesian
0.000 0.000 0.000
0.000 0.000 12.091
0.000 0.000 3.961
0.000 0.000 14.649
```

Computed properties:
calculated density = 3.7 g/cm³
uncorrected formation energy = -376 meV per atom

The following is a DFT calculation (PBE) of a geometry-optimized NiSb2Cl structure.

POSCAR file:
```
NiSb2Cl
1.0
3.236 0.000 0.000
0.000 3.306 0.000
-1.476 0.000 8.060
Ni Sb Cl
1 2 1
Cartesian
0.000 0.000 0.000
0.220 1.653 6.462
1.540 1.653 1.598
0.880 0.000 4.030
```

Computed properties:
calculated density = 6.5 g/cm³
ΔE to the lowest computed polymorph = 0.169 eV per atom
uncorrected formation energy = -133 meV per atom

The following is a DFT calculation (PBE) of a geometry-optimized Dy2Ho3In3 structure.

POSCAR file:
```
Dy2Ho3In3
1.0
-1.875 2.658 11.113
1.875 -2.658 11.113
1.875 2.658 -11.113
Dy Ho In
2 3 3
Cartesian
0.000 0.000 5.221
0.000 0.000 17.005
0.000 0.000 0.000
1.875 0.000 8.349
0.000 2.658 2.764
1.875 0.000 2.638
0.000 0.000 11.113
0.000 2.658 8.475
```

Computed properties:
formation energy from the elements = -356 meV/atom
calculated density = 8.7 g/cm³
ΔE to the lowest computed polymorph = 0.000 eV per atom

The following is a DFT calculation (PBE) of a geometry-optimized La3DyTh2As6 structure.

POSCAR file:
```
La3DyTh2As6
1.0
3.708 -6.428 0.000
3.708 6.428 0.000
-2.472 0.000 7.029
La Dy Th As
3 1 2 6
Cartesian
0.000 0.000 0.000
3.708 2.147 0.000
3.708 -2.147 0.000
2.472 0.000 3.515
2.472 4.288 3.515
2.472 -4.288 3.515
1.247 2.125 1.834
0.021 0.000 5.203
1.247 -2.125 1.834
3.697 2.125 5.195
4.923 0.000 1.827
3.697 -2.125 5.195
```

Computed properties:
formation energy from the elements = -1531 meV/atom
calculated density = 7.4 g/cm³

The following is a DFT calculation (PBE) of a geometry-optimized Tl3SiS4 structure.

POSCAR file:
```
Tl3SiS4
1.0
10.475 0.000 0.000
0.000 7.253 0.000
0.000 0.000 6.455
Tl Si S
6 2 8
Cartesian
0.000 1.483 0.000
2.552 2.149 3.069
2.685 5.104 6.297
5.238 5.771 3.227
7.790 5.104 6.297
7.923 2.149 3.069
0.000 5.897 2.764
5.238 1.356 5.991
0.000 0.689 3.412
0.000 5.838 0.609
1.850 5.040 3.397
3.388 2.214 0.169
5.238 1.415 3.836
5.238 6.564 0.184
7.088 2.214 0.169
8.625 5.040 3.397
```

Computed properties:
calculated density = 5.2 g/cm³
ΔE to the lowest computed polymorph = 0.030 eV per atom
uncorrected formation energy = -426 meV per atom

The following is a DFT calculation (PBE) of a geometry-optimized FeHg2B structure.

POSCAR file:
```
FeHg2B
1.0
0.000 3.205 3.205
3.205 0.000 3.205
3.205 3.205 0.000
Fe Hg B
1 2 1
Cartesian
0.000 0.000 0.000
1.603 1.603 1.603
4.808 4.808 4.808
3.205 3.205 3.205
```

Computed properties:
formation energy from the elements = 1246 meV/atom
calculated density = 11.8 g/cm³
ΔE to the lowest computed polymorph = 0.561 eV per atom

The following is a DFT calculation (PBE) of a geometry-optimized YHo4Ag structure.

POSCAR file:
```
YHo4Ag
1.0
3.531 0.000 0.000
0.000 3.531 0.000
0.000 0.000 13.923
Y Ho Ag
1 4 1
Cartesian
0.000 0.000 0.000
0.000 0.000 5.048
0.000 0.000 8.875
1.766 1.766 2.522
1.766 1.766 11.401
1.766 1.766 6.962
```

Computed properties:
formation energy from the elements = -78 meV/atom
calculated density = 8.2 g/cm³
ΔE to the lowest computed polymorph = 0.000 eV per atom

Q: Which formula does entry 7 have?
A: Dy2Ho3In3